VASP calculation (PBE-GGA) on Nd2TcO6 after structural relaxation.

Lattice parameters (Å, degrees): 5.513 6.174 8.938 90.00 121.82 90.00
Atoms (fractional coordinates):
Nd 0.210 0.093 0.247
Nd 0.210 0.407 0.747
Nd 0.790 0.593 0.253
Nd 0.790 0.907 0.753
Tc 0.500 0.000 0.000
Tc 0.500 0.500 0.500
O 0.151 0.154 0.948
O 0.151 0.346 0.448
O 0.294 0.729 0.927
O 0.294 0.771 0.427
O 0.405 0.055 0.764
O 0.405 0.445 0.264
O 0.595 0.555 0.736
O 0.595 0.945 0.236
O 0.706 0.229 0.573
O 0.706 0.271 0.073
O 0.849 0.654 0.552
O 0.849 0.846 0.052

Total magnetic moment (Bohr magnetons per cell): 2.016
Calculated total energy (eV per atom): -7.990
Theoretical density (g/cm3): 6.20
Space-group type: P2_1/c, No. 14
ΔE_f (raw) (eV per atom): -2.4731
Offset from the most stable computed form (kJ/mol of formula units): 0

***

VASP calculation (PBE-GGA) on NdTcO5 after structural relaxation.

Lattice parameters (Å, degrees): 5.637 5.637 7.662 109.82 109.82 70.66
Atoms (fractional coordinates):
Nd 0.057 0.943 0.750
Nd 0.943 0.057 0.250
Tc 0.500 0.500 0.000
Tc 0.500 0.500 0.500
O 0.203 0.775 0.037
O 0.225 0.797 0.463
O 0.266 0.298 0.389
O 0.298 0.266 0.889
O 0.433 0.567 0.750
O 0.567 0.433 0.250
O 0.702 0.734 0.111
O 0.734 0.702 0.611
O 0.775 0.203 0.537
O 0.797 0.225 0.963

Total magnetic moment (Bohr magnetons per cell): 0.000
Calculated total energy (eV per atom): -7.667
Theoretical density (g/cm3): 5.12
Space-group type: C2/c, No. 15
ΔE_f (raw) (eV per atom): -1.9634
Offset from the most stable computed form (kJ/mol of formula units): 0

***

VASP calculation (PBE-GGA) on Nd4Tc6O19 after structural relaxation.

Lattice parameters (Å, degrees): 7.835 7.835 7.835 109.47 109.47 109.47
Atoms (fractional coordinates):
Nd 0.000 0.000 0.688
Nd 0.000 0.688 0.000
Nd 0.312 0.312 0.312
Nd 0.688 0.000 0.000
Tc 0.133 0.633 0.500
Tc 0.367 0.500 0.867
Tc 0.500 0.133 0.633
Tc 0.500 0.867 0.367
Tc 0.633 0.500 0.133
Tc 0.867 0.367 0.500
O 0.000 0.000 0.000
O 0.000 0.321 0.321
O 0.000 0.679 0.679
O 0.058 0.355 0.730
O 0.270 0.624 0.328
O 0.296 0.942 0.672
O 0.321 0.000 0.321
O 0.321 0.321 0.000
O 0.328 0.270 0.624
O 0.355 0.730 0.058
O 0.376 0.645 0.704
O 0.624 0.328 0.270
O 0.645 0.704 0.376
O 0.672 0.296 0.942
O 0.679 0.000 0.679
O 0.679 0.679 0.000
O 0.704 0.376 0.645
O 0.730 0.058 0.355
O 0.942 0.672 0.296

Total magnetic moment (Bohr magnetons per cell): 0.000
Calculated total energy (eV per atom): -8.161
Theoretical density (g/cm3): 6.59
Space-group type: I23, No. 197
ΔE_f (raw) (eV per atom): -2.1104

***

VASP calculation (PBE-GGA) on Nd2Tc2O7 after structural relaxation.

Lattice parameters (Å, degrees): 5.202 5.202 5.195 90.00 90.00 94.23
Atoms (fractional coordinates):
Nd 0.247 0.247 0.000
Nd 0.753 0.753 0.000
Tc 0.265 0.735 0.500
Tc 0.735 0.265 0.500
O 0.000 0.000 0.500
O 0.000 0.500 0.272
O 0.000 0.500 0.728
O 0.500 0.000 0.272
O 0.500 0.000 0.728
O 0.500 0.500 0.280
O 0.500 0.500 0.720

Total magnetic moment (Bohr magnetons per cell): 1.083
Calculated total energy (eV per atom): -7.847
Theoretical density (g/cm3): 7.06
Space-group type: Cmmm, No. 65
ΔE_f (raw) (eV per atom): -1.9405
Offset from the most stable computed form (kJ/mol of formula units): 379

***

VASP calculation (PBE-GGA) on NdTcO6 after structural relaxation.

Lattice parameters (Å, degrees): 5.149 5.149 3.926 92.95 92.95 99.27
Atoms (fractional coordinates):
Nd 0.000 0.000 0.000
Tc 0.500 0.500 0.500
O 0.221 0.221 0.525
O 0.274 0.669 0.177
O 0.331 0.726 0.823
O 0.669 0.274 0.177
O 0.726 0.331 0.823
O 0.779 0.779 0.475

Total magnetic moment (Bohr magnetons per cell): 0.000
Calculated total energy (eV per atom): -7.129
Theoretical density (g/cm3): 5.49
Space-group type: C2/m, No. 12
ΔE_f (raw) (eV per atom): -1.5184

***

VASP calculation (PBE-GGA) on NdTc4O12 after structural relaxation.

Lattice parameters (Å, degrees): 6.652 6.652 6.652 109.47 109.47 109.47
Atoms (fractional coordinates):
Nd 0.000 0.000 0.000
Tc 0.000 0.000 0.500
Tc 0.000 0.500 0.000
Tc 0.500 0.000 0.000
Tc 0.500 0.500 0.500
O 0.005 0.246 0.759
O 0.241 0.488 0.246
O 0.241 0.995 0.754
O 0.246 0.241 0.488
O 0.246 0.759 0.005
O 0.488 0.246 0.241
O 0.512 0.754 0.759
O 0.754 0.241 0.995
O 0.754 0.759 0.512
O 0.759 0.005 0.246
O 0.759 0.512 0.754
O 0.995 0.754 0.241

Total magnetic moment (Bohr magnetons per cell): 0.000
Calculated total energy (eV per atom): -7.861
Theoretical density (g/cm3): 5.34
Space-group type: Im-3, No. 204
ΔE_f (raw) (eV per atom): -1.6412